No. 1
A relaxed structure of FeSiBr3, computed with PBE.

a b c (Å): 5.246 5.246 5.246
angles (deg): 90.00 90.00 90.00
Positions (direct):
Fe (0.000, 0.000, 0.000)
Si (0.500, 0.500, 0.500)
Br (0.000, 0.500, 0.500)
Br (0.500, 0.000, 0.500)
Br (0.500, 0.500, 0.000)

Output
Its total energy is -3.303 eV/atom. The calculation puts the density of states at the Fermi level at 4.081 states/eV/atom. The formation energy (no corrections) is 0.478 eV per atom. Its total moment is 4.31 μB per cell. As for the space group: No. 221.

No. 2
A relaxed structure of FeSiBr2, computed with PBE.

a b c (Å): 7.582 7.508 3.271
angles (deg): 90.00 90.28 90.00
Positions (direct):
Fe (0.000, 0.000, 0.000)
Fe (0.500, 0.500, 0.000)
Si (0.000, 0.500, 0.000)
Si (0.500, 0.000, 0.000)
Br (0.250, 0.250, 0.000)
Br (0.250, 0.750, 0.000)
Br (0.750, 0.250, 0.000)
Br (0.750, 0.750, 0.000)

Output
Its total energy is -3.749 eV/atom. The calculation puts the density of states at the Fermi level at 0.904 states/eV/atom. The formation energy (no corrections) is 0.558 eV per atom. Its total moment is 6.39 μB per cell. As for the space group: No. 12.

No. 3
A relaxed structure of FeSiBr2, computed with PBE.

a b c (Å): 3.175 3.175 8.851
angles (deg): 90.00 90.00 90.00
Positions (direct):
Fe (0.000, 0.000, 0.000)
Si (0.000, 0.000, 0.500)
Br (0.500, 0.500, 0.185)
Br (0.500, 0.500, 0.815)

Output
Its total energy is -3.754 eV/atom. The calculation puts the density of states at the Fermi level at 0.413 states/eV/atom. The formation energy (no corrections) is 0.553 eV per atom. Its total moment is 3.51 μB per cell. As for the space group: No. 123.

No. 4
A relaxed structure of Fe3SiBr, computed with PBE.

a b c (Å): 4.383 4.383 4.383
angles (deg): 90.00 90.00 90.00
Positions (direct):
Fe (0.000, 0.000, 0.500)
Fe (0.000, 0.500, 0.000)
Fe (0.500, 0.000, 0.000)
Si (0.000, 0.000, 0.000)
Br (0.500, 0.500, 0.500)

Output
Its total energy is -5.658 eV/atom. The calculation puts the density of states at the Fermi level at 0.998 states/eV/atom. The formation energy (no corrections) is 0.839 eV per atom. Its total moment is 6.40 μB per cell. As for the space group: No. 221.